The following is a PBE calculation of SmAlPt6 after structural relaxation, from the Alexandria database.

The calculated formation energy comes out at -6.32 eV per formula unit. The magnetization is 0.000 μB/f.u.

It has space group P4/mmm (No. 123), with a = 4.083 Å, b = 4.083 Å, c = 7.993 Å, α = 90.00°, β = 90.00° and γ = 90.00°. Symmetry generates all atoms from Sm at (0.000, 0.000, 0.000), Al at (0.000, 0.000, 0.500), Pt at (0.000, 0.500, 0.272), Pt at (0.500, 0.500, 0.000) and Pt at (0.500, 0.500, 0.500).